MgHg2Pb at its PBEsol-relaxed geometry. Source: Alexandria via LeMat-Bulk, functional meta-GGA SCAN.

a b c (Å): 4.6032 4.6032 5.5325
angles (deg): 114.58 114.58 90.00
Fractional positions:
Hg  0.7500  0.2500  0.5000
Mg  0.5000  0.5000  0.0000
Hg  0.2500  0.7500  0.5000
Pb  0.0000  0.0000  0.0000

Computed properties:
Formation enthalpy at 0 K   -1.355 kcal/mol of atoms